Record 1
Computed, not measured: crystalline LaPmPr5Y2 at its relaxed geometry at the PBE-GGA level of DFT.

Values from the calculation:
calculated density = 6.01 g/cm3
space group = Cmc2_1 (36)

a b c (Å): 10.7114 10.7114 10.7685
angles (deg): 90.00 90.00 148.55
With the nearest neighbours (Å) after each atom.
Atoms (fractional coordinates):
La 0.0845 0.9155 0.5000  5 Pr 3.14-3.40
La 0.9155 0.0845 0.0000  5 Pr 3.14-3.40
Pm 0.2990 0.7010 0.0615  2 Y 3.50-3.80, 8 Pr 3.57-3.91, 2 La 3.83
Pm 0.7010 0.2990 0.5615  2 Y 3.50-3.80, 8 Pr 3.57-3.91, 2 La 3.83
Pr 0.0230 0.9770 0.7928  2 La 3.15-3.40
Pr 0.1097 0.8903 0.0786  5 Pr 3.56-3.91, 4 Y 3.63-3.65, 1 Pm 3.91
Pr 0.2053 0.7947 0.7542  3 Pr 3.50-3.78, 3 Pm 3.57-3.83, 3 Y 3.67-3.77, 1 La 3.70
Pr 0.2187 0.7813 0.3628  1 La 3.14, 1 Y 3.38, 2 Pr 3.50
Pr 0.4825 0.5175 0.0769  2 La 3.32, 3 Y 3.48-3.71
Pr 0.5175 0.4825 0.5769  2 La 3.32, 3 Y 3.48-3.71
Pr 0.7813 0.2187 0.8628  1 La 3.14, 1 Y 3.38, 2 Pr 3.50
Pr 0.7947 0.2053 0.2542  3 Pr 3.50-3.78, 3 Pm 3.57-3.83, 3 Y 3.67-3.77, 1 La 3.70
Pr 0.8903 0.1097 0.5786  5 Pr 3.56-3.91, 4 Y 3.63-3.65, 1 Pm 3.91
Pr 0.9770 0.0230 0.2928  2 La 3.15-3.40
Y 0.3825 0.6175 0.3766  8 Pr 3.38-3.67
Y 0.3876 0.6124 0.7840  7 Pr 3.48-3.77, 1 Pm 3.50, 2 La 3.76
Y 0.6124 0.3876 0.2840  7 Pr 3.48-3.77, 1 Pm 3.50, 2 La 3.76
Y 0.6175 0.3825 0.8766  8 Pr 3.38-3.67

***

Record 2
Computed, not measured: crystalline Ba6IrAu2Br3 at its relaxed geometry at the PBE-GGA level of DFT.

Values from the calculation:
uncorrected formation energy = -1115.8 meV per atom
calculated density = 5.85 g/cm3
space group = C2/m (12)

a b c (Å): 8.0450 8.0450 8.7831
angles (deg): 98.79 98.79 120.02
With the nearest neighbours (Å) after each atom.
Atoms (fractional coordinates):
Ba 0.0725 0.3831 0.2175  1 Ir 3.09, 2 Au 3.32
Ba 0.2385 0.2385 0.7834  1 Ir 3.09, 2 Au 3.32
Ba 0.3831 0.0725 0.2175  1 Ir 3.09, 2 Au 3.32
Ba 0.6169 0.9275 0.7825  1 Ir 3.09, 2 Au 3.32
Ba 0.7615 0.7615 0.2166  1 Ir 3.09, 2 Au 3.32
Ba 0.9275 0.6169 0.7825  1 Ir 3.09, 2 Au 3.32
Ir 0.0000 0.0000 0.0000  6 Ba 3.09
Au 0.3331 0.6669 0.0000  6 Ba 3.32
Au 0.6669 0.3331 0.0000  6 Ba 3.32
Br 0.1655 0.8345 0.5000  6 Ba 3.50-3.72
Br 0.5000 0.5000 0.5000  6 Ba 3.51-3.72
Br 0.8345 0.1655 0.5000  6 Ba 3.50-3.72

***

Record 3
Computed, not measured: crystalline ThVTe at its relaxed geometry at the PBE-GGA level of DFT.

Values from the calculation:
uncorrected formation energy = -36.0 meV per atom
calculated density = 8.64 g/cm3
space group = Fmmm (69)

a b c (Å): 8.9611 8.9284 4.3350
angles (deg): 76.40 75.56 28.05
With the nearest neighbours (Å) after each atom.
Atoms (fractional coordinates):
Th 0.1779 0.1779 0.8221  2 V 3.14, 5 Te 3.15-3.33
Th 0.8221 0.8221 0.1779  2 V 3.14, 5 Te 3.15-3.33
V 0.1579 0.8421 0.8421  1 V 1.91
V 0.8421 0.1579 0.1579  1 V 1.91
Te 0.3758 0.3758 0.6242  2 V 2.94, 4 Th 3.15-3.24
Te 0.6242 0.6242 0.3758  2 V 2.94, 4 Th 3.15-3.24

***

Record 4
Computed, not measured: crystalline Pr5Tc2O12 at its relaxed geometry at the PBE-GGA level of DFT.

Values from the calculation:
uncorrected formation energy = -2741.1 meV per atom
calculated density = 6.37 g/cm3
space group = C2/m (12)

a b c (Å): 7.1209 7.1209 7.9001
angles (deg): 106.26 106.26 48.28
With the nearest neighbours (Å) after each atom.
Atoms (fractional coordinates):
Pr 0.0000 0.0000 0.0000  6 O 2.40-2.42
Pr 0.3084 0.3084 0.1454  7 O 2.39-2.57
Pr 0.3150 0.3150 0.6703  7 O 2.40-2.56
Pr 0.6850 0.6850 0.3297  7 O 2.40-2.56
Pr 0.6916 0.6916 0.8546  7 O 2.39-2.57
Tc 0.2131 0.7869 0.5000  6 O 1.97-2.12
Tc 0.7869 0.2131 0.5000  6 O 1.97-2.12
O 0.0009 0.0009 0.6965  2 Tc 1.98
O 0.0873 0.5962 0.4225  1 Tc 1.97
O 0.0961 0.5929 0.9226  4 Pr 2.39-2.43
O 0.4038 0.9127 0.5775  1 Tc 1.97
O 0.4071 0.9039 0.0774  4 Pr 2.39-2.43
O 0.4988 0.4988 0.3339  2 Tc 2.12
O 0.5012 0.5012 0.6661  2 Tc 2.12
O 0.5929 0.0961 0.9226  4 Pr 2.39-2.43
O 0.5962 0.0873 0.4225  1 Tc 1.97
O 0.9039 0.4071 0.0774  4 Pr 2.39-2.43
O 0.9127 0.4038 0.5775  1 Tc 1.97
O 0.9991 0.9991 0.3035  2 Tc 1.98

***

Record 5
Computed, not measured: crystalline ZrCd2Hg at its relaxed geometry at the PBE-GGA level of DFT.

Values from the calculation:
calculated density = 9.47 g/cm3
space group = Imm2 (44)

a b c (Å): 6.2445 6.2445 6.2445
angles (deg): 152.27 126.35 61.46
With the nearest neighbours (Å) after each atom.
Atoms (fractional coordinates):
Zr 0.0000 0.0000 0.0000  2 Zr 2.99, 2 Hg 3.05, 6 Cd 3.11-3.19
Cd 0.2542 0.7542 0.5000  4 Cd 2.99-3.06, 2 Zr 3.11, 4 Hg 3.19
Cd 0.5033 0.5033 0.0000  4 Cd 2.99-3.06, 2 Hg 3.07, 4 Zr 3.19
Hg 0.7527 0.2527 0.5000  2 Hg 2.99, 2 Zr 3.05, 6 Cd 3.07-3.19

***

In order of appearance, electronic total energy = -5.030, -3.780, -6.596, -8.222, -2.636 eV/atom.